# 1
VASP calculation (PBE-GGA) on a geometry-optimized Nd3Cd2Ag4 structure.

## Properties
The spin magnetization comes out at 0.00 Bohr magnetons per cell. Its volume is 24.19 Å³ per atom. The total energy is -3.35 eV per atom. For the energy relative to the lowest polymorph listed for this composition, the calculation gives 0.0 meV/atom. The calculation puts the formation energy at -254 kJ/mol of formula units. Its space group is No. 12.

The structure in CIF format:
```
data_Nd3Cd2Ag4
_chemical_formula_sum 'Nd3 Cd2 Ag4'
_space_group_name_H-M_alt 'P 1'
_space_group_IT_number 1
_cell_length_a 6.036
_cell_length_b 6.036
_cell_length_c 9.232
_cell_angle_alpha 116.93
_cell_angle_beta 116.93
_cell_angle_gamma 48.22
loop_
_space_group_symop_operation_xyz
'x,y,z'
loop_
_atom_site_label
_atom_site_fract_x
_atom_site_fract_y
_atom_site_fract_z
Nd1 0.000 0.000 0.000
Nd2 0.339 0.339 0.324
Nd3 0.661 0.661 0.676
Cd1 0.375 0.375 0.709
Cd2 0.625 0.625 0.291
Ag1 0.062 0.062 0.396
Ag2 0.275 0.275 0.942
Ag3 0.725 0.725 0.058
Ag4 0.938 0.938 0.604
```

# 2
VASP calculation (PBE-GGA) on a geometry-optimized BeRhW2 structure.

## Properties
The spin magnetization comes out at 0.00 Bohr magnetons per cell. Its volume is 14.23 Å³ per atom. The total energy is -9.12 eV per atom. The calculation puts the formation energy at 47 kJ/mol of formula units. Its space group is No. 12.

The structure in CIF format:
```
data_BeRhW2
_chemical_formula_sum 'Be2 Rh2 W4'
_space_group_name_H-M_alt 'P 1'
_space_group_IT_number 1
_cell_length_a 5.164
_cell_length_b 8.265
_cell_length_c 2.700
_cell_angle_alpha 90.00
_cell_angle_beta 99.12
_cell_angle_gamma 90.00
loop_
_space_group_symop_operation_xyz
'x,y,z'
loop_
_atom_site_label
_atom_site_fract_x
_atom_site_fract_y
_atom_site_fract_z
Be1 0.000 0.000 0.000
Be2 0.500 0.500 0.000
Rh1 0.000 0.500 0.000
Rh2 0.500 0.000 0.000
W1 0.250 0.250 0.500
W2 0.250 0.750 0.500
W3 0.750 0.250 0.500
W4 0.750 0.750 0.500
```

What is the formula in the second record? BeRhW2